Entry 1:
The following is a DFT calculation (PBE) of a geometry-optimized TlCd3Cu structure. Values from VASP.

Structure (Quantum ESPRESSO input):
```
&SYSTEM
  ibrav = 0, nat = 5, ntyp = 3
/
ATOMIC_SPECIES
Tl 204.38 Tl.upf
Cd 112.41 Cd.upf
Cu 63.55 Cu.upf
ATOMIC_POSITIONS crystal
Tl 0.0000 0.0000 0.0000
Cd 0.0000 0.5000 0.5000
Cd 0.5000 0.0000 0.5000
Cd 0.5000 0.5000 0.0000
Cu 0.5000 0.5000 0.5000
CELL_PARAMETERS angstrom
5.0838 0.0000 0.0000
0.0000 5.0838 0.0000
0.0000 0.0000 5.0838
```

Properties
Electronic total energy in eV per atom: -1.71
Offset from the most stable computed form in meV per atom: 0.0
N(E_F) in states/eV per cell: 1.7
M_tot in μB/f.u.: 0.00
Calculated formation energy in eV per formula unit: 0.7

Entry 2:
The following is a DFT calculation (PBE) of a geometry-optimized TlCdCu3 structure. Values from VASP.

Structure (Quantum ESPRESSO input):
```
&SYSTEM
  ibrav = 0, nat = 5, ntyp = 3
/
ATOMIC_SPECIES
Tl 204.38 Tl.upf
Cd 112.41 Cd.upf
Cu 63.55 Cu.upf
ATOMIC_POSITIONS crystal
Tl 0.0000 0.0000 0.0000
Cd 0.5000 0.5000 0.5000
Cu 0.0000 0.5000 0.5000
Cu 0.5000 0.0000 0.5000
Cu 0.5000 0.5000 0.0000
CELL_PARAMETERS angstrom
4.9061 0.0000 0.0000
0.0000 4.9061 0.0000
0.0000 0.0000 4.9061
```

Properties
Electronic total energy in eV per atom: -2.38
Offset from the most stable computed form in meV per atom: 0.0
N(E_F) in states/eV per cell: 1.8
M_tot in μB/f.u.: 0.00
Calculated formation energy in eV per formula unit: 3.7

Entry 3:
The following is a DFT calculation (PBE) of a geometry-optimized Tl2CdCu2 structure. Values from VASP.

Structure (Quantum ESPRESSO input):
```
&SYSTEM
  ibrav = 0, nat = 10, ntyp = 3
/
ATOMIC_SPECIES
Tl 204.38 Tl.upf
Cd 112.41 Cd.upf
Cu 63.55 Cu.upf
ATOMIC_POSITIONS crystal
Tl 0.1716 0.3284 0.0000
Tl 0.3284 0.8284 0.0000
Tl 0.6716 0.1716 0.0000
Tl 0.8284 0.6716 0.0000
Cd 0.0000 0.0000 0.5000
Cd 0.5000 0.5000 0.5000
Cu 0.1249 0.6249 0.5000
Cu 0.3751 0.1249 0.5000
Cu 0.6249 0.8751 0.5000
Cu 0.8751 0.3751 0.5000
CELL_PARAMETERS angstrom
7.1592 0.0000 0.0000
0.0000 7.1592 0.0000
0.0000 0.0000 4.0758
```

Properties
Electronic total energy in eV per atom: -2.56
Offset from the most stable computed form in meV per atom: 0.0
N(E_F) in states/eV per cell: 3.6
M_tot in μB/f.u.: 0.00
Calculated formation energy in eV per formula unit: 1.0

Entry 4:
The following is a DFT calculation (PBE) of a geometry-optimized TlCdCu2 structure. Values from VASP.

Structure (Quantum ESPRESSO input):
```
&SYSTEM
  ibrav = 0, nat = 4, ntyp = 3
/
ATOMIC_SPECIES
Tl 204.38 Tl.upf
Cd 112.41 Cd.upf
Cu 63.55 Cu.upf
ATOMIC_POSITIONS crystal
Tl 0.0000 0.0000 0.0000
Cd 0.7070 0.5000 0.3801
Cu 0.2767 0.0000 0.5413
Cu 0.4104 0.5000 0.8110
CELL_PARAMETERS angstrom
3.3594 0.0000 0.0000
0.0000 4.2884 0.0000
-1.5002 0.0000 5.1327
```

Properties
Electronic total energy in eV per atom: -2.68
N(E_F) in states/eV per cell: 0.9
M_tot in μB/f.u.: 0.00
Calculated formation energy in eV per formula unit: 0.7